(1)
LaEuIr PBE relaxed; electronic total energy = -8.44 eV per atom; ρ = 8.99 g cm⁻³; E_form = -121.7 kJ/mol of formula units; M_tot = 14.23 μB/cell; E above lowest polymorph = 0.079 eV/atom
1.0
3.605 0.000 0.000
0.000 3.605 0.000
0.000 0.000 13.727
La Eu Ir
2 2 2
Direct
0.000 0.000 0.000 La
0.500 0.500 0.500 La
0.000 0.000 0.246 Eu
0.500 0.500 0.746 Eu
0.000 0.000 0.611 Ir
0.500 0.500 0.111 Ir



(2)
Cd2SnBiPb PBE relaxed; electronic total energy = -2.62 eV per atom; ρ = 8.32 g cm⁻³; E_form = 32.9 kJ/mol of formula units; M_tot = 0.00 μB/cell
1.0
7.388 0.000 0.000
0.000 4.644 0.000
-2.559 0.000 8.835
Cd Sn Bi Pb
4 2 2 2
Direct
0.012 0.250 0.153 Cd
0.035 0.750 0.409 Cd
0.965 0.250 0.591 Cd
0.988 0.750 0.847 Cd
0.329 0.250 0.477 Sn
0.671 0.750 0.523 Sn
0.266 0.250 0.912 Bi
0.734 0.750 0.088 Bi
0.347 0.750 0.203 Pb
0.653 0.250 0.797 Pb



(3)
Tb8Sm2Dy3 PBE relaxed; electronic total energy = -4.40 eV per atom; ρ = 7.82 g cm⁻³; E_form = 292.5 kJ/mol of formula units; M_tot = 0.00 μB/cell; E above lowest polymorph = 0.012 eV/atom
1.0
3.816 -10.250 0.000
3.816 10.250 0.000
0.000 0.000 5.590
Tb Sm Dy
8 2 3
Direct
0.131 0.869 0.000 Tb
0.183 0.396 0.500 Tb
0.335 0.665 0.000 Tb
0.396 0.183 0.500 Tb
0.604 0.817 0.500 Tb
0.665 0.335 0.000 Tb
0.817 0.604 0.500 Tb
0.869 0.131 0.000 Tb
0.241 0.759 0.500 Sm
0.759 0.241 0.500 Sm
0.000 0.000 0.500 Dy
0.287 0.287 0.000 Dy
0.713 0.713 0.000 Dy



(4)
Er2ScTl PBE relaxed; electronic total energy = -4.54 eV per atom; ρ = 8.66 g cm⁻³; E_form = -33.8 kJ/mol of formula units; M_tot = 0.00 μB/cell; E above lowest polymorph = 0.088 eV/atom
1.0
3.475 0.000 0.000
-1.738 3.009 0.000
0.000 0.000 32.130
Er Sc Tl
6 3 3
Direct
0.000 0.000 0.250 Er
0.000 0.000 0.750 Er
0.333 0.667 0.416 Er
0.333 0.667 0.917 Er
0.667 0.333 0.083 Er
0.667 0.333 0.584 Er
0.000 0.000 0.500 Sc
0.333 0.667 0.167 Sc
0.667 0.333 0.833 Sc
0.000 0.000 0.000 Tl
0.333 0.667 0.667 Tl
0.667 0.333 0.333 Tl



(5)
BaTaBi2O8 PBE relaxed; electronic total energy = -6.80 eV per atom; ρ = 7.52 g cm⁻³; M_tot = 0.77 μB/cell; energy relative to the elements, uncorrected = -1.704 eV per atom
1.0
3.546 -3.659 0.000
3.546 3.659 0.000
0.000 0.000 7.355
Ba Ta Bi O
1 1 2 8
Direct
0.000 0.000 0.000 Ba
0.000 0.000 0.500 Ta
0.500 0.500 0.269 Bi
0.500 0.500 0.731 Bi
0.191 0.191 0.305 O
0.191 0.191 0.695 O
0.289 0.711 0.500 O
0.341 0.659 0.000 O
0.659 0.341 0.000 O
0.711 0.289 0.500 O
0.809 0.809 0.305 O
0.809 0.809 0.695 O



(6)
Ca4HAu PBE relaxed; electronic total energy = -2.88 eV per atom; ρ = 3.30 g cm⁻³; M_tot = 0.00 μB/cell; E above lowest polymorph = 0.000 eV/atom
1.0
-4.669 4.669 4.138
4.669 -4.669 4.138
4.669 4.669 -4.138
Ca H Au
8 2 2
Direct
0.207 0.266 0.558 Ca
0.207 0.649 0.942 Ca
0.266 0.207 0.058 Ca
0.351 0.793 0.558 Ca
0.649 0.207 0.442 Ca
0.734 0.793 0.942 Ca
0.793 0.351 0.058 Ca
0.793 0.734 0.442 Ca
0.375 0.625 0.750 H
0.625 0.375 0.250 H
0.125 0.875 0.250 Au
0.875 0.125 0.750 Au